(1)
A geometry-optimized AcGa4Sb structure. Source: Alexandria, functional GGA-PBE.

Results
- calculated density (g/cm³) = 7.40
- space-group type = F-43m (216)
- raw formation energy (eV per atom) = -0.229
- M_tot (μB/f.u.) = 0.000
- DOS(E_F) (states/eV/atom) = 1.10

The structure in extended XYZ format:
```
6
Lattice="5.840 0.000 0.000 2.920 5.057 0.000 2.920 1.686 4.768" Properties=species:S:1:pos:R:3 pbc="T T T"
Sb 2.920 1.686 1.192
Ac 0.000 0.000 0.000
Ga 5.840 3.372 0.608
Ga 5.840 1.697 2.976
Ga 7.290 4.209 2.976
Ga 4.390 4.209 2.976
```

---

(2)
A geometry-optimized Hf2BeTc2 structure. Source: Alexandria, functional GGA-PBE.

Results
- calculated density (g/cm³) = 11.11
- space-group type = P4/mbm (127)
- M_tot (μB/f.u.) = 0.000
- DOS(E_F) (states/eV/atom) = 0.62

The structure in extended XYZ format:
```
10
Lattice="-4.749 -3.394 -2.436 3.832 -2.069 -4.587 1.105 -3.266 2.396" Properties=species:S:1:pos:R:3 pbc="T T T"
Be 0.000 0.000 0.000
Be -0.459 -2.732 -3.512
Hf 2.310 -3.613 -2.311
Hf 0.525 -5.629 -4.235
Hf -2.122 -5.116 -2.316
Hf -0.337 -3.101 -0.392
Tc 1.593 -2.959 -4.768
Tc -1.565 -4.233 -5.047
Tc -2.510 -2.504 -2.256
Tc 0.648 -1.230 -1.976
```

---

(3)
A geometry-optimized La2PW structure. Source: Alexandria, functional GGA-PBE.

Results
- calculated density (g/cm³) = 7.52
- space-group type = R-3m (166)
- relative energy among the computed polymorphs (eV/atom) = 0.442
- M_tot (μB/f.u.) = 1.421
- DOS(E_F) (states/eV/atom) = 1.10

The structure in extended XYZ format:
```
4
Lattice="8.311 -0.036 -0.022 7.383 3.818 -0.022 7.383 1.779 3.378" Properties=species:S:1:pos:R:3 pbc="T T T"
La 22.921 5.522 3.312
La 11.695 2.818 1.690
P 5.769 1.390 0.834
W 17.308 4.170 2.501
```

---

(4)
A geometry-optimized DyTh3C structure. Source: Alexandria, functional GGA-PBE.

Results
- calculated density (g/cm³) = 10.51
- space-group type = Pm-3m (221)
- M_tot (μB/f.u.) = 0.000
- DOS(E_F) (states/eV/atom) = 1.00

The structure in extended XYZ format:
```
5
Lattice="-0.599 0.957 5.037 -0.071 -5.072 0.955 5.127 0.042 0.601" Properties=species:S:1:pos:R:3 pbc="T T T"
C 0.000 0.000 0.000
Th -0.035 -2.536 0.478
Th 2.563 0.021 0.301
Th -0.299 0.479 2.519
Dy 2.229 -2.037 3.297
```

---

(5)
A geometry-optimized TmZn6Ni2 structure. Source: Alexandria, functional GGA-PBE.

Results
- calculated density (g/cm³) = 6.84
- space-group type = P6/mmm (191)
- M_tot (μB/f.u.) = 0.000
- DOS(E_F) (states/eV/atom) = 0.51

The structure in extended XYZ format:
```
9
Lattice="5.446 0.000 0.000 -2.723 4.717 0.000 0.000 0.000 6.416" Properties=species:S:1:pos:R:3 pbc="T T T"
Tm 0.000 0.000 0.000
Zn 2.722 0.000 1.345
Zn 1.362 2.359 1.345
Zn -1.361 2.357 1.345
Zn 1.361 2.357 5.072
Zn -1.362 2.359 5.072
Zn 2.724 0.000 5.072
Ni 0.000 3.144 3.208
Ni 2.723 1.572 3.208
```

---

(6)
A geometry-optimized AcNdCd structure. Source: Alexandria, functional GGA-PBE.

Results
- calculated density (g/cm³) = 7.46
- space-group type = Amm2 (38)
- relative energy among the computed polymorphs (eV/atom) = 0.141
- M_tot (μB/f.u.) = 0.000
- DOS(E_F) (states/eV/atom) = 1.30

The structure in extended XYZ format:
```
6
Lattice="-3.041 -3.959 4.994 -5.195 -4.510 1.593 4.621 -6.013 -1.953" Properties=species:S:1:pos:R:3 pbc="T T T"
Ac -3.040 -11.199 3.737
Ac -5.349 -8.192 4.716
Nd 0.634 -2.040 -0.070
Nd 2.943 -5.046 -1.048
Cd -3.654 -3.758 2.923
Cd -1.344 -6.764 1.946
```

---

(7)
A geometry-optimized TmPuMoRu structure. Source: Alexandria, functional GGA-PBE.

Results
- calculated density (g/cm³) = 13.08
- space-group type = F-43m (216)
- M_tot (μB/f.u.) = 3.172
- DOS(E_F) (states/eV/atom) = 1.27

The structure in extended XYZ format:
```
4
Lattice="4.784 0.000 0.000 2.392 4.143 0.000 2.392 1.381 3.906" Properties=species:S:1:pos:R:3 pbc="T T T"
Ru 2.392 1.381 0.977
Mo 7.176 4.143 2.930
Tm 0.000 0.000 0.000
Pu 4.784 2.762 1.953
```

---

(8)
A geometry-optimized CsRb2TlPb structure. Source: Alexandria, functional GGA-PBE.

Results
- calculated density (g/cm³) = 3.86
- space-group type = P4/mmm (123)
- relative energy among the computed polymorphs (eV/atom) = 0.000
- M_tot (μB/f.u.) = 0.419
- DOS(E_F) (states/eV/atom) = 0.56

The structure in extended XYZ format:
```
5
Lattice="-4.817 -0.572 5.318 -2.445 -6.130 -2.874 3.925 -3.076 3.224" Properties=species:S:1:pos:R:3 pbc="T T T"
Pb 1.962 -1.538 1.612
Cs -1.668 -4.889 2.834
Tl 0.000 0.000 0.000
Rb -1.222 -3.065 -1.437
Rb -2.408 -0.286 2.659
```

---

(9)
A geometry-optimized Sc2TiCr structure. Source: Alexandria, functional GGA-PBE.

Results
- calculated density (g/cm³) = 4.08
- space-group type = R-3m (166)
- relative energy among the computed polymorphs (eV/atom) = 0.050
- M_tot (μB/f.u.) = 2.400
- DOS(E_F) (states/eV/atom) = 0.91

The structure in extended XYZ format:
```
4
Lattice="-3.723 3.043 8.996 -3.521 0.127 9.573 -1.150 1.890 9.958" Properties=species:S:1:pos:R:3 pbc="T T T"
Sc -7.597 4.580 25.820
Sc -0.796 0.480 2.706
Cr -4.197 2.530 14.263
Ti 0.000 0.000 0.000
```

---

no.,E_tot (eV per formula unit)
1,-21.7
2,-44.9
3,-27.7
4,-36.6
5,-22.8
6,-9.9
7,-38.8
8,-8.8
9,-28.3